A plane-wave DFT calculation with PBE-GGA was carried out for an optimized crystal structure of PrErP2.

Unit cell a=7.330 b=7.330 c=7.330 alpha=32.08 beta=32.08 gamma=32.08
Fractional coordinates of all 4 atoms:
Pr 0.000 0.000 0.000
Er 0.828 0.828 0.828
P 0.417 0.417 0.417
P 0.577 0.577 0.577

Calculated values
Its space group is No. 160. As for the formation energy: -1.3673 eV/atom. The total energy is -25.63 eV/cell.